A relaxed structure of TaCr2In, computed with PBE.

Output
As for the space-group type: R-3m (166). For the uncorrected energy, the calculation gives -7.955 eV per atom.

Lattice parameters (Å, degrees): 8.6527 8.6527 8.6527 20.16 20.16 20.16
Sites, in units of the cell vectors:
Ta 0.0000 0.0000 0.0000
Cr 0.2567 0.2567 0.2567
Cr 0.7433 0.7433 0.7433
In 0.5000 0.5000 0.5000

---

A relaxed structure of TaCr2In, computed with PBE.

Output
As for the space-group type: Immm (71). For the uncorrected energy, the calculation gives -8.038 eV per atom.

Lattice parameters (Å, degrees): 5.0775 5.0775 5.0775 142.09 127.25 66.78
Sites, in units of the cell vectors:
Ta 0.0000 0.0000 0.0000
Cr 0.2372 0.7372 0.5000
Cr 0.7628 0.2628 0.5000
In 0.5000 0.5000 0.0000

---

A relaxed structure of TaCr2In, computed with PBE.

Output
As for the space-group type: P4/mmm (123). For the uncorrected energy, the calculation gives -8.273 eV per atom.

Lattice parameters (Å, degrees): 3.2024 3.2024 6.3395 90.00 90.00 90.00
Sites, in units of the cell vectors:
Ta 0.0000 0.0000 0.0000
Cr 0.5000 0.5000 0.2291
Cr 0.5000 0.5000 0.7709
In 0.0000 0.0000 0.5000

---

Look up the uncorrected energy of the second one. -8.038 eV per atom